Compound: Mn2IrCl
Source: Alexandria via LeMat-Bulk
Functional: PBE
Structure: optimized geometry

Structure (extended XYZ):
```
4
Lattice="5.565 0.721 0.000 2.603 4.972 0.000 -4.084 -2.847 2.590" Properties=species:S:1:pos:R:3 pbc="T T T"
Mn 0.000 0.000 0.000
Mn 1.301 2.486 1.295
Ir 2.783 0.361 1.295
Cl 4.084 2.847 0.000
```

## Properties
Magnetic moment   9.28 μB/f.u.
Space-group type   I-4m2
Total energy   -26.94 eV for the cell shown
Uncorrected formation energy   203 kJ/mol of formula units